Record 1
The following is a DFT calculation (PBE) of crystalline Na2HIO4 at its relaxed geometry.

- calculated volume (Å³/f.u.) = 112.4
- electronic total energy (eV/atom) = -4.49

Cell: 6.9090 5.6184 5.7908 Å, 90.00 90.00 90.00°
With the nearest neighbours (Å) after each atom.
Space group Pmn2_1 (No. 31)
Unique sites:
Na (0.2283, 0.0172, 0.0000)  5 O 2.37-2.46, 1 H 2.56
H (0.0000, 0.7138, 0.1840)  1 O 0.98
I (0.0000, 0.5123, 0.6091)  3 O 1.84-1.86
O (0.0000, 0.2113, 0.7424)  1 I 1.86
O (0.0000, 0.8555, 0.2816)  1 H 0.98
O (0.2017, 0.6577, 0.7607)  1 I 1.84

Record 2
The following is a DFT calculation (PBE) of crystalline Na2NbGe at its relaxed geometry.

- calculated volume (Å³/f.u.) = 95.7
- ΔH_f (0 K) (eV/atom) = 0.7211

Cell: 8.4636 8.4636 5.3446 Å, 90.00 90.00 90.00°
With the nearest neighbours (Å) after each atom.
Space group I-42d (No. 122)
Unique sites:
Na (0.2149, 0.2500, 0.1250)  2 Na 2.74, 2 Ge 2.87
Nb (0.0000, 0.0000, 0.5000)  2 Ge 2.67
Ge (0.0000, 0.0000, 0.0000)  2 Nb 2.67, 4 Na 2.87

Record 3
The following is a DFT calculation (PBE) of crystalline Ba7Na2Au2 at its relaxed geometry.

- polymorph energy (0 for the lowest one) (meV/atom) = 29
- calculated volume (Å³/f.u.) = 559.7
- ΔH_f (0 K) (eV/atom) = -0.2362

Cell: 9.8071 13.3395 8.5569 Å, 90.00 90.00 90.00°
With the nearest neighbours (Å) after each atom.
Space group Cmmm (No. 65)
Unique sites:
Ba (0.0000, 0.0000, 0.0000)  2 Au 3.84
Ba (0.0000, 0.5000, 0.2327)  2 Au 3.46
Ba (0.2500, 0.2500, 0.2465)  2 Au 3.27
Na (0.1638, 0.0000, 0.5000)  1 Na 3.21
Au (0.0000, 0.2878, 0.0000)  6 Ba 3.27-3.46

Record 4
The following is a DFT calculation (PBE) of crystalline Nd3ZrAl8 at its relaxed geometry.

- calculated volume (Å³/f.u.) = 248.2
- ΔH_f (0 K) (eV/atom) = -0.4739

Cell: 5.5986 5.5986 27.4344 Å, 90.00 90.00 120.00°
With the nearest neighbours (Å) after each atom.
Space group R3m (No. 160, hexagonal axes)
Unique sites:
Nd (0.0000, 0.0000, 0.0000)  12 Al 3.28-3.34, 4 Nd 3.43-3.44
Nd (0.0000, 0.0000, 0.1255)  12 Al 3.22-3.28, 3 Zr 3.42, 1 Nd 3.44
Nd (0.0000, 0.0000, 0.6249)  12 Al 3.28-3.35, 3 Nd 3.43, 1 Zr 3.44
Zr (0.0000, 0.0000, 0.4997)  12 Al 3.21-3.28, 4 Nd 3.42-3.44
Al (0.0000, 0.0000, 0.3123)  6 Al 2.84-2.86
Al (0.0000, 0.0000, 0.8131)  6 Al 2.74-2.76
Al (0.0022, 0.5011, 0.0651)  6 Al 2.76-2.86
Al (0.1673, 0.3346, 0.8937)  6 Al 2.74-2.84

Record 5
The following is a DFT calculation (PBE) of crystalline MgH4Pd5 at its relaxed geometry.

- polymorph energy (0 for the lowest one) (meV/atom) = 21
- calculated volume (Å³/f.u.) = 109.0

Cell: 5.6064 8.2594 4.7086 Å, 90.00 90.00 90.00°
With the nearest neighbours (Å) after each atom.
Space group Pmmn (No. 59, origin choice 2)
Unique sites:
Mg (0.2500, 0.2500, 0.2099)  2 H 2.19
H (0.0370, 0.7500, 0.4756)  3 Pd 1.77-1.81
H (0.2500, 0.5353, 0.9204)  3 Pd 1.88-1.92
Pd (0.0024, 0.5803, 0.2482)  2 H 1.77-1.88
Pd (0.2500, 0.7500, 0.7656)  4 H 1.81-1.92

Record 6
The following is a DFT calculation (PBE) of crystalline MgRh2Se at its relaxed geometry.

- calculated volume (Å³/f.u.) = 63.3
- energy relative to the elements, uncorrected (eV/atom) = -0.129

Cell: 5.6290 8.7958 2.9592 Å, 90.00 120.30 90.00°
With the nearest neighbours (Å) after each atom.
Space group C2/m (No. 12)
Unique sites:
Mg (0.0000, 0.0000, 0.0000)  4 Rh 2.63, 4 Se 2.81-2.88
Rh (0.2500, 0.2500, 0.5000)  2 Se 2.63, 2 Mg 2.63, 4 Rh 2.81-2.88
Se (0.0000, 0.5000, 0.0000)  4 Rh 2.63, 4 Mg 2.81-2.88

Record 7
The following is a DFT calculation (PBE) of crystalline Y2Au at its relaxed geometry.

- calculated volume (Å³/f.u.) = 82.0
- ΔH_f (0 K) (eV/atom) = -0.5523

Cell: 7.0938 7.0938 6.5160 Å, 90.00 90.00 90.00°
With the nearest neighbours (Å) after each atom.
Space group I4/mcm (No. 140)
Unique sites:
Y (0.1750, 0.3250, 0.0000)  4 Au 3.08
Au (0.0000, 0.0000, 0.2500)  8 Y 3.08, 2 Au 3.26

Record 8
The following is a DFT calculation (PBE) of crystalline GeTe3Ru at its relaxed geometry.

- polymorph energy (0 for the lowest one) (meV/atom) = 0
- calculated volume (Å³/f.u.) = 141.2
- energy relative to the elements, uncorrected (eV/atom) = 0.572

Cell: 5.2072 5.2072 5.2072 Å, 90.00 90.00 90.00°
With the nearest neighbours (Å) after each atom.
Space group Pm-3m (No. 221)
Unique sites:
Ge (0.0000, 0.0000, 0.0000)  12 Te 3.68
Te (0.0000, 0.5000, 0.5000)  2 Ru 2.60
Ru (0.5000, 0.5000, 0.5000)  6 Te 2.60

Record 9
The following is a DFT calculation (PBE) of crystalline Ti2MnAg at its relaxed geometry.

- polymorph energy (0 for the lowest one) (meV/atom) = 0
- calculated volume (Å³/f.u.) = 61.7
- ΔH_f (0 K) (eV/atom) = -0.1457

Cell: 2.9529 2.9529 7.0735 Å, 90.00 90.00 90.00°
With the nearest neighbours (Å) after each atom.
Space group P4/mmm (No. 123)
Unique sites:
Ti (0.0000, 0.0000, 0.2037)  4 Mn 2.54
Mn (0.5000, 0.5000, 0.0000)  8 Ti 2.54
Ag (0.5000, 0.5000, 0.5000)  4 Ag 2.95, 8 Ti 2.96

Record 10
The following is a DFT calculation (PBE) of crystalline Cd6Hg12Bi at its relaxed geometry.

- calculated volume (Å³/f.u.) = 507.5
- ΔH_f (0 K) (eV/atom) = 0.0444

Cell: 13.9476 13.9476 9.0363 Å, 90.00 90.00 120.00°
With the nearest neighbours (Å) after each atom.
Space group R-3m (No. 166, hexagonal axes)
Unique sites:
Cd (0.0913, 0.5457, 0.2313)  8 Hg 3.01-3.25, 2 Cd 3.15
Hg (0.0000, 0.3853, 0.5000)  5 Hg 3.04-3.26, 4 Cd 3.11-3.25
Hg (0.0888, 0.1776, 0.2432)  4 Cd 3.01-3.25, 2 Hg 3.04, 1 Bi 3.07
Bi (0.0000, 0.0000, 0.0000)  6 Hg 3.07

Record 11
The following is a DFT calculation (PBE) of crystalline OsRu2Br at its relaxed geometry.

- polymorph energy (0 for the lowest one) (meV/atom) = 0
- calculated volume (Å³/f.u.) = 61.4
- energy relative to the elements, uncorrected (eV/atom) = 0.625

Cell: 2.8477 2.8477 26.2277 Å, 90.00 90.00 120.00°
With the nearest neighbours (Å) after each atom.
Space group R-3m (No. 166, hexagonal axes)
Unique sites:
Os (0.0000, 0.0000, 0.0000)  6 Ru 2.67, 6 Os 2.85
Ru (0.0000, 0.0000, 0.2530)  3 Os 2.67, 3 Br 2.80, 6 Ru 2.85
Br (0.0000, 0.0000, 0.5000)  6 Ru 2.80, 6 Br 2.85

Record 12
The following is a DFT calculation (PBE) of crystalline Na7SrCd5 at its relaxed geometry.

- calculated volume (Å³/f.u.) = 380.8
- ΔH_f (0 K) (eV/atom) = -0.0988

Cell: 6.1461 11.0626 11.2025 Å, 90.00 90.00 90.00°
With the nearest neighbours (Å) after each atom.
Space group Imm2 (No. 44)
Unique sites:
Na (0.0000, 0.0000, 0.0000)  3 Na 3.27-3.53, 4 Cd 3.35
Na (0.0000, 0.0000, 0.3148)  6 Cd 3.35-3.51, 3 Na 3.53-3.56, 1 Sr 3.63
Na (0.0000, 0.2936, 0.1847)  5 Cd 3.19-3.35, 4 Na 3.33-3.56
Na (0.0000, 0.3464, 0.6886)  5 Cd 3.32-3.54, 4 Na 3.40-3.64
Na (0.0000, 0.5000, 0.4012)  6 Na 3.27-3.64, 4 Cd 3.29
Sr (0.0000, 0.0000, 0.6384)  8 Na 3.63-4.05, 6 Cd 3.63-3.80
Cd (0.0000, 0.5000, 0.9654)  4 Cd 3.08, 2 Na 3.35
Cd (0.2485, 0.2392, 0.4373)  3 Cd 3.05-3.09, 7 Na 3.19-3.41